<A>
An optimized crystal structure of TiTcAs2, computed with PBE.

Properties
The value obtained for the total magnetization is 0.00 Bohr magnetons per cell.

The structure in CIF format:
```
data_TiTcAs2
_chemical_formula_sum 'Ti2 Tc2 As4'
_cell_length_a 6.7688
_cell_length_b 3.8912
_cell_length_c 5.6874
_cell_angle_alpha 90.00
_cell_angle_beta 113.53
_cell_angle_gamma 90.00
_symmetry_space_group_name_H-M 'C 1 m 1'
_symmetry_Int_Tables_number 8
loop_
_symmetry_equiv_pos_as_xyz
'x,y,z'
'x,-y,z'
'x+1/2,y+1/2,z'
'x+1/2,-y+1/2,z'
loop_
_atom_site_label
_atom_site_type_symbol
_atom_site_fract_x
_atom_site_fract_y
_atom_site_fract_z
Ti1 Ti 0.0000 0.0000 0.0000
Tc1 Tc 0.3134 0.5000 0.4402
As1 As 0.2336 0.0000 0.7028
As2 As 0.4205 0.0000 0.2606
```



<B>
An optimized crystal structure of TiTcAs2, computed with PBE.

Properties
The value obtained for the total magnetization is 0.00 Bohr magnetons per cell.

The structure in CIF format:
```
data_TiTcAs2
_chemical_formula_sum 'Ti2 Tc2 As4'
_cell_length_a 3.3283
_cell_length_b 6.7081
_cell_length_c 5.8438
_cell_angle_alpha 90.00
_cell_angle_beta 90.00
_cell_angle_gamma 90.00
_symmetry_space_group_name_H-M 'I m m 2'
_symmetry_Int_Tables_number 44
loop_
_symmetry_equiv_pos_as_xyz
'x,y,z'
'-x,-y,z'
'-x,y,z'
'x,-y,z'
'x+1/2,y+1/2,z+1/2'
'-x+1/2,-y+1/2,z+1/2'
'-x+1/2,y+1/2,z+1/2'
'x+1/2,-y+1/2,z+1/2'
loop_
_atom_site_label
_atom_site_type_symbol
_atom_site_fract_x
_atom_site_fract_y
_atom_site_fract_z
Ti1 Ti 0.0000 0.0000 0.0000
Tc1 Tc 0.0000 0.5000 0.9879
As1 As 0.0000 0.2512 0.3255
```



<C>
An optimized crystal structure of TiTcAs2, computed with PBE.

Properties
The value obtained for the total magnetization is 0.00 Bohr magnetons per cell.

The structure in CIF format:
```
data_TiTcAs2
_chemical_formula_sum 'Ti2 Tc2 As4'
_cell_length_a 7.3242
_cell_length_b 3.4153
_cell_length_c 5.4390
_cell_angle_alpha 90.00
_cell_angle_beta 90.73
_cell_angle_gamma 90.00
_symmetry_space_group_name_H-M 'C 1 2/m 1'
_symmetry_Int_Tables_number 12
loop_
_symmetry_equiv_pos_as_xyz
'x,y,z'
'-x,-y,-z'
'-x,y,-z'
'x,-y,z'
'x+1/2,y+1/2,z'
'-x+1/2,-y+1/2,-z'
'-x+1/2,y+1/2,-z'
'x+1/2,-y+1/2,z'
loop_
_atom_site_label
_atom_site_type_symbol
_atom_site_fract_x
_atom_site_fract_y
_atom_site_fract_z
Ti1 Ti 0.0000 0.0000 0.0000
Tc1 Tc 0.0000 0.0000 0.5000
As1 As 0.1940 0.5000 0.2650
```



Stability check: which of them is most stable? <B>.



<A>
An optimized crystal structure of TiTc2As2, computed with PBE.

Properties
The value obtained for the total magnetization is 0.00 Bohr magnetons per cell.

The structure in CIF format:
```
data_TiTc2As2
_chemical_formula_sum 'Ti2 Tc4 As4'
_cell_length_a 7.1459
_cell_length_b 7.1459
_cell_length_c 3.0069
_cell_angle_alpha 90.00
_cell_angle_beta 90.00
_cell_angle_gamma 90.00
_symmetry_space_group_name_H-M 'P 4/m b m'
_symmetry_Int_Tables_number 127
_symmetry_space_group_name_Hall '-P 4 2ab'
loop_
_atom_site_label
_atom_site_type_symbol
_atom_site_fract_x
_atom_site_fract_y
_atom_site_fract_z
Ti1 Ti 0.0000 0.0000 0.0000
Tc1 Tc 0.1432 0.3568 0.5000
As1 As 0.1554 0.6554 0.0000
```



<B>
An optimized crystal structure of TiTc2As2, computed with PBE.

Properties
The value obtained for the total magnetization is 0.00 Bohr magnetons per cell.

The structure in CIF format:
```
data_TiTc2As2
_chemical_formula_sum 'Ti2 Tc4 As4'
_cell_length_a 4.2724
_cell_length_b 4.2724
_cell_length_c 9.3275
_cell_angle_alpha 90.00
_cell_angle_beta 90.00
_cell_angle_gamma 90.00
_symmetry_space_group_name_H-M 'I 4/m m m'
_symmetry_Int_Tables_number 139
_symmetry_space_group_name_Hall '-I 4 2'
loop_
_atom_site_label
_atom_site_type_symbol
_atom_site_fract_x
_atom_site_fract_y
_atom_site_fract_z
Ti1 Ti 0.0000 0.0000 0.0000
Tc1 Tc 0.0000 0.5000 0.2500
As1 As 0.0000 0.0000 0.3718
```



Stability check: which of them is most stable? <A>.